[1]
## Nb3SiSn (PBE-GGA)

Data for a relaxed Nb3SiSn crystal.

```
Nb3SiSn
1.0
4.6963 0.0000 0.0000
0.0000 4.6963 0.0000
0.0000 0.0000 4.6963
Nb Si Sn
3 1 1
direct
0.0000 0.0000 0.5000
0.0000 0.5000 0.0000
0.5000 0.0000 0.0000
0.0000 0.0000 0.0000
0.5000 0.5000 0.5000
```

Results
**Distance to the lowest polymorph of the same formula**: 426.4 meV per atom
**Raw formation energy**: 0.460 eV per atom
**Mass density**: 6.82 g cm⁻³
**DOS at the Fermi energy**: 1.7718 states/eV/atom

***

[2]
## Nb2SiSn (PBE-GGA)

Data for a relaxed Nb2SiSn crystal.

```
Nb2SiSn
1.0
1.8136 1.0471 6.7958
-1.8136 1.0471 6.7958
0.0000 -2.0942 6.7958
Nb Si Sn
2 1 1
direct
0.0000 0.0000 0.0000
0.1972 0.1972 0.1972
0.5987 0.5987 0.5987
0.7667 0.7667 0.7667
```

Results
**Distance to the lowest polymorph of the same formula**: 0.0 meV per atom
**Raw formation energy**: -0.198 eV per atom
**Mass density**: 7.13 g cm⁻³
**DOS at the Fermi energy**: 0.4706 states/eV/atom

***

[3]
## NbSiSn2 (PBE-GGA)

Data for a relaxed NbSiSn2 crystal.

```
NbSiSn2
1.0
-3.2643 3.2643 5.6107
3.2643 -3.2643 5.6107
3.2643 3.2643 -5.6107
Nb Si Sn
2 2 4
direct
0.0000 0.0000 0.0000
0.7500 0.2500 0.5000
0.2500 0.7500 0.5000
0.5000 0.5000 0.0000
0.1432 0.6250 0.0182
0.3750 0.3932 0.5182
0.6068 0.1250 0.9818
0.8750 0.8568 0.4818
```

Results
**Raw formation energy**: 0.849 eV per atom
**Mass density**: 4.98 g cm⁻³
**DOS at the Fermi energy**: 0.6295 states/eV/atom

***

[4]
## Nb2SiSn (PBE-GGA)

Data for a relaxed Nb2SiSn crystal.

```
Nb2SiSn
1.0
0.0000 3.2966 3.2966
3.2966 0.0000 3.2966
3.2966 3.2966 0.0000
Nb Si Sn
2 1 1
direct
0.2500 0.2500 0.2500
0.7500 0.7500 0.7500
0.0000 0.0000 0.0000
0.5000 0.5000 0.5000
```

Results
**Distance to the lowest polymorph of the same formula**: 239.4 meV per atom
**Raw formation energy**: 0.041 eV per atom
**Mass density**: 7.71 g cm⁻³
**DOS at the Fermi energy**: 1.0286 states/eV/atom

***

[5]
## Nb3SiSn (PBE-GGA)

Data for a relaxed Nb3SiSn crystal.

```
Nb3SiSn
1.0
6.4538 0.0000 0.0000
-3.2269 5.5892 0.0000
0.0000 0.0000 5.2742
Nb Si Sn
6 2 2
direct
0.1910 0.3820 0.2500
0.1910 0.8090 0.2500
0.3820 0.1910 0.7500
0.6180 0.8090 0.2500
0.8090 0.1910 0.7500
0.8090 0.6180 0.7500
0.0000 0.0000 0.0000
0.0000 0.0000 0.5000
0.3333 0.6667 0.7500
0.6667 0.3333 0.2500
```

Results
**Distance to the lowest polymorph of the same formula**: 0.0 meV per atom
**Raw formation energy**: 0.034 eV per atom
**Mass density**: 7.43 g cm⁻³
**DOS at the Fermi energy**: 0.8008 states/eV/atom

***

[6]
## Nb8SiSn2 (PBE-GGA)

Data for a relaxed Nb8SiSn2 crystal.

```
Nb8SiSn2
1.0
7.9495 -2.4196 0.0000
7.9495 2.4196 0.0000
-0.4668 0.0000 5.2688
Nb Si Sn
8 1 2
direct
0.0433 0.0433 0.2488
0.2338 0.2338 0.3382
0.3300 0.3300 0.9015
0.4142 0.4142 0.4779
0.5858 0.5858 0.5221
0.6700 0.6700 0.0985
0.7662 0.7662 0.6618
0.9567 0.9567 0.7512
0.5000 0.5000 0.0000
0.1471 0.1471 0.7929
0.8529 0.8529 0.2071
```

Results
**Raw formation energy**: -0.184 eV per atom
**Mass density**: 8.26 g cm⁻³
**DOS at the Fermi energy**: 0.7493 states/eV/atom

***

[7]
## Nb5Si2Sn2 (PBE-GGA)

Data for a relaxed Nb5Si2Sn2 crystal.

```
Nb5Si2Sn2
1.0
7.1500 -3.4224 0.0000
7.1500 3.4224 0.0000
0.0000 0.0000 6.7822
Nb Si Sn
10 4 4
direct
0.0000 0.0000 0.0000
0.0519 0.7158 0.6758
0.2158 0.5519 0.1758
0.2842 0.9481 0.6758
0.4481 0.7842 0.1758
0.5000 0.5000 0.5000
0.5519 0.2158 0.8242
0.7158 0.0519 0.3242
0.7842 0.4481 0.8242
0.9481 0.2842 0.3242
0.1247 0.8753 0.3773
0.3753 0.6247 0.8773
0.6247 0.3753 0.1227
0.8753 0.1247 0.6227
0.2182 0.2182 0.0000
0.2818 0.2818 0.5000
0.7182 0.7182 0.5000
0.7818 0.7818 0.0000
```

Results
**Raw formation energy**: -0.399 eV per atom
**Mass density**: 7.59 g cm⁻³
**DOS at the Fermi energy**: 0.4917 states/eV/atom

***

[8]
## Nb2SiSn (PBE-GGA)

Data for a relaxed Nb2SiSn crystal.

```
Nb2SiSn
1.0
1.8211 1.0514 6.7952
-1.8211 1.0514 6.7952
0.0000 -2.1028 6.7952
Nb Si Sn
2 1 1
direct
0.2336 0.2336 0.2336
0.7664 0.7664 0.7664
0.5000 0.5000 0.5000
0.0000 0.0000 0.0000
```

Results
**Distance to the lowest polymorph of the same formula**: 102.0 meV per atom
**Raw formation energy**: -0.096 eV per atom
**Mass density**: 7.08 g cm⁻³
**DOS at the Fermi energy**: 0.6566 states/eV/atom

***

[9]
## Nb5SiSn2 (PBE-GGA)

Data for a relaxed Nb5SiSn2 crystal.

```
Nb5SiSn2
1.0
-5.3311 5.3311 2.5813
5.3311 -5.3311 2.5813
5.3311 5.3311 -2.5813
Nb Si Sn
10 2 4
direct
0.0696 0.7894 0.8590
0.2106 0.0696 0.2802
0.2500 0.7500 0.5000
0.2894 0.5696 0.8590
0.4304 0.2894 0.7198
0.5696 0.7106 0.2802
0.7106 0.4304 0.1410
0.7500 0.2500 0.5000
0.7894 0.9304 0.7198
0.9304 0.2106 0.1410
0.2500 0.2500 0.0000
0.7500 0.7500 0.0000
0.1689 0.3311 0.5000
0.3311 0.8311 0.1622
0.6689 0.1689 0.8378
0.8311 0.6689 0.5000
```

Results
**Raw formation energy**: -0.358 eV per atom
**Mass density**: 8.26 g cm⁻³
**DOS at the Fermi energy**: 0.5399 states/eV/atom

***

[10]
## NbSi3Sn (PBE-GGA)

Data for a relaxed NbSi3Sn crystal.

```
NbSi3Sn
1.0
4.9603 0.0000 0.0000
0.0000 4.9603 0.0000
0.0000 0.0000 4.9603
Nb Si Sn
1 3 1
direct
0.0000 0.0000 0.0000
0.0000 0.5000 0.5000
0.5000 0.0000 0.5000
0.5000 0.5000 0.0000
0.5000 0.5000 0.5000
```

Results
**Distance to the lowest polymorph of the same formula**: 1172.4 meV per atom
**Raw formation energy**: 1.781 eV per atom
**Mass density**: 4.03 g cm⁻³
**DOS at the Fermi energy**: 1.6415 states/eV/atom

***

[11]
## Nb2SiSn (PBE-GGA)

Data for a relaxed Nb2SiSn crystal.

```
Nb2SiSn
1.0
-1.9937 1.9937 9.8572
1.9937 -1.9937 9.8572
1.9937 1.9937 -9.8572
Nb Si Sn
4 2 2
direct
0.1050 0.6250 0.9800
0.3750 0.3550 0.4800
0.6450 0.1250 0.0200
0.8750 0.8950 0.5200
0.0000 0.0000 0.0000
0.7500 0.2500 0.5000
0.2500 0.7500 0.5000
0.5000 0.5000 0.0000
```

Results
**Distance to the lowest polymorph of the same formula**: 471.7 meV per atom
**Raw formation energy**: 0.273 eV per atom
**Mass density**: 7.05 g cm⁻³
**DOS at the Fermi energy**: 0.7035 states/eV/atom

***

[12]
## NbSi3Sn (PBE-GGA)

Data for a relaxed NbSi3Sn crystal.

```
NbSi3Sn
1.0
4.9088 0.0000 0.0000
0.0000 4.9088 0.0000
0.0000 0.0000 4.9088
Nb Si Sn
1 3 1
direct
0.0000 0.0000 0.0000
0.0000 0.0000 0.5000
0.0000 0.5000 0.0000
0.5000 0.0000 0.0000
0.5000 0.5000 0.5000
```

Results
**Distance to the lowest polymorph of the same formula**: 0.0 meV per atom
**Raw formation energy**: 0.608 eV per atom
**Mass density**: 4.15 g cm⁻³
**DOS at the Fermi energy**: 0.6509 states/eV/atom

***

[13]
## Sr2NbSiSn (PBE-GGA)

Data for a relaxed Sr2NbSiSn crystal.

```
Sr2NbSiSn
1.0
5.8015 0.0000 0.0000
0.0000 5.8015 0.0000
0.0000 0.0000 4.9549
Sr Nb Si Sn
2 1 1 1
direct
0.0000 0.5000 0.0000
0.5000 0.0000 0.0000
0.0000 0.0000 0.0000
0.0000 0.0000 0.5000
0.5000 0.5000 0.5000
```

Results
**Raw formation energy**: 0.640 eV per atom
**Mass density**: 4.13 g cm⁻³
**DOS at the Fermi energy**: 1.4142 states/eV/atom

***

[14]
## SrNb3Si (PBE-GGA)

Data for a relaxed SrNb3Si crystal.

```
SrNb3Si
1.0
4.8484 0.0000 0.0000
0.0000 4.8484 0.0000
0.0000 0.0000 4.8484
Sr Nb Si
1 3 1
direct
0.0000 0.0000 0.0000
0.0000 0.0000 0.5000
0.0000 0.5000 0.0000
0.5000 0.0000 0.0000
0.5000 0.5000 0.5000
```

Results
**Distance to the lowest polymorph of the same formula**: 1936.4 meV per atom
**Raw formation energy**: 2.624 eV per atom
**Mass density**: 5.75 g cm⁻³
**DOS at the Fermi energy**: 0.7885 states/eV/atom

***

[15]
## SrNbSi3 (PBE-GGA)

Data for a relaxed SrNbSi3 crystal.

```
SrNbSi3
1.0
4.9133 0.0000 0.0000
0.0000 4.9133 0.0000
0.0000 0.0000 4.9133
Sr Nb Si
1 1 3
direct
0.0000 0.0000 0.0000
0.5000 0.5000 0.5000
0.0000 0.5000 0.5000
0.5000 0.0000 0.5000
0.5000 0.5000 0.0000
```

Results
**Raw formation energy**: -0.023 eV per atom
**Mass density**: 3.71 g cm⁻³
**DOS at the Fermi energy**: 0.5221 states/eV/atom

***

[16]
## SrNbSi2 (PBE-GGA)

Data for a relaxed SrNbSi2 crystal.

```
SrNbSi2
1.0
0.0000 3.4370 3.4370
3.4370 0.0000 3.4370
3.4370 3.4370 0.0000
Sr Nb Si
1 1 2
direct
0.0000 0.0000 0.0000
0.5000 0.5000 0.5000
0.2500 0.2500 0.2500
0.7500 0.7500 0.7500
```

Results
**Distance to the lowest polymorph of the same formula**: 144.6 meV per atom
**Raw formation energy**: 0.262 eV per atom
**Mass density**: 4.84 g cm⁻³
**DOS at the Fermi energy**: 0.8907 states/eV/atom

***

[17]
## SrNbSi3 (PBE-GGA)

Data for a relaxed SrNbSi3 crystal.

```
SrNbSi3
1.0
5.0660 0.0000 0.0000
0.0000 5.0660 0.0000
0.0000 0.0000 5.0660
Sr Nb Si
1 1 3
direct
0.0000 0.0000 0.0000
0.5000 0.5000 0.5000
0.0000 0.0000 0.5000
0.0000 0.5000 0.0000
0.5000 0.0000 0.0000
```

Results
**Raw formation energy**: 2.156 eV per atom
**Mass density**: 3.38 g cm⁻³
**DOS at the Fermi energy**: 2.1198 states/eV/atom

***

[18]
## SrNbSi2 (PBE-GGA)

Data for a relaxed SrNbSi2 crystal.

```
SrNbSi2
1.0
-2.5722 2.5722 8.4792
2.5722 -2.5722 8.4792
2.5722 2.5722 -8.4792
Sr Nb Si
2 2 4
direct
0.0000 0.0000 0.0000
0.7500 0.2500 0.5000
0.2500 0.7500 0.5000
0.5000 0.5000 0.0000
0.3739 0.6250 0.2489
0.3750 0.6239 0.7489
0.3761 0.1250 0.7511
0.8750 0.6261 0.2511
```

Results
**Distance to the lowest polymorph of the same formula**: 0.0 meV per atom
**Raw formation energy**: 0.118 eV per atom
**Mass density**: 3.50 g cm⁻³
**DOS at the Fermi energy**: 1.2065 states/eV/atom

***

[19]
## SrNb3Si (PBE-GGA)

Data for a relaxed SrNb3Si crystal.

```
SrNb3Si
1.0
4.8928 0.0000 0.0000
0.0000 4.8928 0.0000
0.0000 0.0000 4.8928
Sr Nb Si
1 3 1
direct
0.0000 0.0000 0.0000
0.0000 0.5000 0.5000
0.5000 0.0000 0.5000
0.5000 0.5000 0.0000
0.5000 0.5000 0.5000
```

Results
**Distance to the lowest polymorph of the same formula**: 0.0 meV per atom
**Raw formation energy**: 0.688 eV per atom
**Mass density**: 5.59 g cm⁻³
**DOS at the Fermi energy**: 1.8512 states/eV/atom

***

[20]
## TaNbSi4 (PBE-GGA)

Data for a relaxed TaNbSi4 crystal.

```
TaNbSi4
1.0
4.4316 -1.6429 0.0000
4.4316 1.6429 0.0000
-2.4410 0.0000 6.1010
Ta Nb Si
1 1 4
direct
0.0000 0.0000 0.0000
0.0000 0.0000 0.5000
0.3313 0.3313 0.1663
0.3315 0.3315 0.6653
0.6685 0.6685 0.3347
0.6687 0.6687 0.8337
```

Results
**Raw formation energy**: -0.432 eV per atom
**Mass density**: 7.22 g cm⁻³
**DOS at the Fermi energy**: 0.2674 states/eV/atom